## 1
Compound: SbC
Source: Alexandria
Functional: GGA-PBEsol
Structure: relaxed

Output
Crystal system: orthorhombic
N(E_F), states/eV/f.u.: 0.7

Cell: 3.3156 11.1873 3.3026 Å, 90.00 90.00 90.00°
Space group Cmcm (No. 63)
Asymmetric unit:
Sb (0.0000, 0.1368, 0.2500)
C (0.0000, 0.3361, 0.2500)



## 2
Compound: SbC
Source: Alexandria
Functional: GGA-PBEsol
Structure: relaxed

Output
Crystal system: trigonal
N(E_F), states/eV/f.u.: 0.8

Cell: 3.4278 3.4278 20.6150 Å, 90.00 90.00 120.00°
Space group R-3m (No. 166, hexagonal axes)
Asymmetric unit:
Sb (0.0000, 0.0000, 0.0963)
C (0.0000, 0.0000, 0.3895)



## 3
Compound: SbC
Source: Alexandria
Functional: GGA-PBEsol
Structure: relaxed

Output
Crystal system: orthorhombic
N(E_F), states/eV/f.u.: 0.5

Cell: 3.2811 9.9575 5.6791 Å, 90.00 90.00 90.00°
Space group Imm2 (No. 44)
Asymmetric unit:
Sb (0.0000, 0.0000, 0.0000)
Sb (0.0000, 0.3316, 0.0507)
C (0.0000, 0.0000, 0.6061)
C (0.0000, 0.3100, 0.4321)



3 is favored, and the nearest alternative lies 0.034 eV/atom above it.



## 1
Compound: SbC2
Source: Alexandria
Functional: GGA-PBEsol
Structure: relaxed

Output
Crystal system: hexagonal
N(E_F), states/eV/f.u.: 0.7

Cell: 7.9319 7.9319 2.6199 Å, 90.00 90.00 120.00°
Space group P-62m (No. 189)
Asymmetric unit:
Sb (0.0000, 0.0000, 0.0000)
Sb (0.3333, 0.6667, 0.5000)
C (0.0000, 0.6481, 0.5000)
C (0.0000, 0.7196, 0.0000)



## 2
Compound: SbC2
Source: Alexandria
Functional: GGA-PBEsol
Structure: relaxed

Output
Crystal system: hexagonal
N(E_F), states/eV/f.u.: 1.0

Cell: 2.6934 2.6934 15.4797 Å, 90.00 90.00 120.00°
Space group P6_3/mmc (No. 194)
Asymmetric unit:
Sb (0.3333, 0.6667, 0.2500)
C (0.3333, 0.6667, 0.0001)



2 is favored, and the nearest alternative lies 0.135 eV/atom above it.



## 1
Compound: SbC2
Source: Alexandria
Functional: GGA-PBEsol
Structure: relaxed

Output
Crystal system: orthorhombic
N(E_F), states/eV/f.u.: 0.7

Cell: 4.1904 5.2506 3.3403 Å, 90.00 90.00 90.00°
Space group Pnnm (No. 58)
Asymmetric unit:
Sb (0.0000, 0.0000, 0.0000)
C (0.1325, 0.4212, 0.0000)



## 2
Compound: SbC2
Source: Alexandria
Functional: GGA-PBEsol
Structure: relaxed

Output
Crystal system: trigonal
N(E_F), states/eV/f.u.: 1.3

Cell: 3.3740 3.3740 11.6753 Å, 90.00 90.00 120.00°
Space group R-3m (No. 166, hexagonal axes)
Asymmetric unit:
Sb (0.0000, 0.0000, 0.0000)
C (0.0000, 0.0000, 0.2322)



## 3
Compound: SbC2
Source: Alexandria
Functional: GGA-PBEsol
Structure: relaxed

Output
Crystal system: cubic
N(E_F), states/eV/f.u.: 1.9

Cell: 5.4019 5.4019 5.4019 Å, 90.00 90.00 90.00°
Space group Fm-3m (No. 225)
Asymmetric unit:
Sb (0.0000, 0.0000, 0.0000)
C (0.2500, 0.2500, 0.2500)



1 is favored, and the nearest alternative lies 1.445 eV/atom above it.